w) # Nd2Th3Te8

A relaxed Nd2Th3Te8 crystal (PBE, Alexandria).

The value obtained for the mass density is 7.4 g cm⁻³. The density of states at the Fermi level comes out at 4.82 states/eV per cell. The value obtained for the magnetic moment is 1.4 μB per formula unit. As for the symmetry: Cmmm (65).

abc: 5.4522 10.7772 9.3889
angles: 125.04 90.00 90.00
With the nearest neighbours (Å) after each atom.
Atoms (fractional coordinates):
Te 0.5000 0.3637 0.2456  3 Th 3.21-3.32, 2 Nd 3.28-3.39
Te 0.0000 0.1171 0.2342  4 Th 3.27-3.35, 2 Nd 3.55, 1 Te 3.60
Te 0.5000 0.8820 0.2457  3 Th 3.21-3.32, 2 Nd 3.28-3.39
Te 0.0000 0.6266 0.2532  2 Nd 3.20, 2 Th 3.22
Te 0.5000 0.6363 0.7544  3 Th 3.21-3.32, 2 Nd 3.28-3.39
Te 0.0000 0.3734 0.7468  2 Nd 3.20, 2 Th 3.22
Te 0.0000 0.8829 0.7658  4 Th 3.27-3.35, 2 Nd 3.55, 1 Te 3.60
Te 0.5000 0.1180 0.7543  3 Th 3.21-3.32, 2 Nd 3.28-3.39
Nd 0.5000 0.7352 0.4705  8 Te 3.20-3.55
Nd 0.5000 0.2648 0.5295  8 Te 3.20-3.55
Th 0.5000 0.0000 0.0000  8 Te 3.21-3.27
Th 0.0000 0.2620 0.9999  8 Te 3.22-3.35
Th 0.0000 0.7380 0.0001  8 Te 3.22-3.35

x) # Nd2Th3Te8

A relaxed Nd2Th3Te8 crystal (PBE, Alexandria).

The value obtained for the mass density is 6.6 g cm⁻³. The density of states at the Fermi level comes out at 8.00 states/eV per cell. The value obtained for the magnetic moment is 0.0 μB per formula unit. As for the symmetry: C2/m (12).

abc: 7.5136 8.8699 9.1190
angles: 119.10 104.71 90.00
With the nearest neighbours (Å) after each atom.
Atoms (fractional coordinates):
Th 0.0000 0.2491 0.0000  6 Te 3.10-3.20
Th 0.5000 0.0000 0.0000  6 Te 3.15-3.16
Th 0.0000 0.7509 0.0000  6 Te 3.10-3.20
Te 0.0912 0.8732 0.7464  3 Th 3.15-3.20, 1 Nd 3.15
Te 0.4164 0.8691 0.2447  2 Th 3.16-3.17, 2 Nd 3.18-3.26
Te 0.9088 0.1268 0.2536  3 Th 3.15-3.20, 1 Nd 3.15
Te 0.4164 0.3756 0.2447  2 Th 3.16-3.17, 2 Nd 3.18-3.26
Te 0.8969 0.6128 0.2256  2 Th 3.10, 1 Nd 3.18
Te 0.5836 0.6244 0.7553  2 Th 3.16-3.17, 2 Nd 3.18-3.26
Te 0.5836 0.1309 0.7553  2 Th 3.16-3.17, 2 Nd 3.18-3.26
Te 0.1031 0.3872 0.7744  2 Th 3.10, 1 Nd 3.18
Nd 0.3257 0.2455 0.4911  6 Te 3.15-3.26
Nd 0.6743 0.7545 0.5089  6 Te 3.15-3.26

w) (2.4 kJ/mol of atoms below the next structure)

w) # NdThTe

A relaxed NdThTe crystal (PBE, Alexandria).

The value obtained for the mass density is 8.4 g cm⁻³. The density of states at the Fermi level comes out at 7.61 states/eV per cell. The value obtained for the magnetic moment is 0.0 μB per formula unit. As for the symmetry: P-6m2 (187).

abc: 3.9248 3.9248 14.8650
angles: 90.00 90.00 120.00
With the nearest neighbours (Å) after each atom.
Atoms (fractional coordinates):
Te 0.0000 0.0000 0.3480  3 Th 3.20, 3 Nd 3.21
Te 0.0000 0.0000 0.6520  3 Th 3.20, 3 Nd 3.21
Nd 0.3333 0.6667 0.1951  3 Te 3.21
Nd 0.3333 0.6667 0.8049  3 Te 3.21
Th 0.0000 0.0000 0.0000  6 Nd 3.68, 6 Th 3.92
Th 0.3333 0.6667 0.5000  6 Te 3.20

x) # NdThTe

A relaxed NdThTe crystal (PBE, Alexandria).

The value obtained for the mass density is 8.4 g cm⁻³. The density of states at the Fermi level comes out at 3.32 states/eV per cell. The value obtained for the magnetic moment is 0.0 μB per formula unit. As for the symmetry: P3m1 (156).

abc: 3.8551 5.4560 5.4560
angles: 120.00 90.00 90.00
With the nearest neighbours (Å) after each atom.
Atoms (fractional coordinates):
Th 0.1637 0.0000 0.0000  3 Te 3.15
Nd 0.6633 0.6667 0.3333  6 Te 3.67-3.71, 6 Th 3.69, 2 Nd 3.86
Te 0.1729 0.3333 0.6667  3 Th 3.15

w) (35.6 kJ/mol of atoms below the next structure)

w) # Nd2TlTe

A relaxed Nd2TlTe crystal (PBE, Alexandria).

The value obtained for the mass density is 7.9 g cm⁻³. The density of states at the Fermi level comes out at 2.27 states/eV per cell. The value obtained for the magnetic moment is 0.0 μB per formula unit. As for the symmetry: R-3m (166).

abc: 4.3410 4.3410 8.3918
angles: 75.01 75.01 60.00
With the nearest neighbours (Å) after each atom.
Atoms (fractional coordinates):
Te 0.0000 0.0000 0.0000  6 Nd 3.18
Nd 0.2518 0.2518 0.2446  3 Te 3.18, 3 Tl 3.23
Nd 0.7482 0.7482 0.7554  3 Te 3.18, 3 Tl 3.23
Tl 0.5000 0.5000 0.5000  6 Nd 3.23

x) # Nd2TlTe

A relaxed Nd2TlTe crystal (PBE, Alexandria).

The value obtained for the mass density is 7.8 g cm⁻³. The density of states at the Fermi level comes out at 3.98 states/eV per cell. The value obtained for the magnetic moment is 0.0 μB per formula unit. As for the symmetry: R3m (160).

abc: 4.2128 4.2128 8.9274
angles: 76.35 76.35 60.00
With the nearest neighbours (Å) after each atom.
Atoms (fractional coordinates):
Nd 0.2554 0.2554 0.2338  3 Te 3.17, 3 Tl 3.35
Nd 0.0778 0.0778 0.7666  3 Te 3.14, 3 Tl 3.33
Tl 0.4993 0.4993 0.5022  6 Nd 3.33-3.35
Te 0.6676 0.6676 0.9973  6 Nd 3.14-3.17

y) # Nd2TlTe

A relaxed Nd2TlTe crystal (PBE, Alexandria).

The value obtained for the mass density is 8.1 g cm⁻³. The density of states at the Fermi level comes out at 3.91 states/eV per cell. The value obtained for the magnetic moment is 0.0 μB per formula unit. As for the symmetry: Cmcm (63).

abc: 4.4804 4.6078 12.5470
angles: 100.58 90.00 90.00
With the nearest neighbours (Å) after each atom.
Atoms (fractional coordinates):
Nd 0.2500 0.0645 0.1290  1 Te 3.14, 4 Tl 3.25
Nd 0.7500 0.6793 0.3587  5 Te 3.18-3.23, 1 Tl 3.29
Nd 0.7500 0.9355 0.8710  1 Te 3.14, 4 Tl 3.25
Nd 0.2500 0.3207 0.6413  5 Te 3.18-3.23, 1 Tl 3.29
Te 0.2500 0.1917 0.3834  6 Nd 3.14-3.23
Te 0.7500 0.8083 0.6166  6 Nd 3.14-3.23
Tl 0.2500 0.4541 0.9083  2 Tl 3.18, 5 Nd 3.25-3.29
Tl 0.7500 0.5459 0.0917  2 Tl 3.18, 5 Nd 3.25-3.29

y) (4.1 kJ/mol of atoms below the next structure)

w) # Nd5TlTe4

A relaxed Nd5TlTe4 crystal (PBE, Alexandria).

The value obtained for the mass density is 7.4 g cm⁻³. The density of states at the Fermi level comes out at 6.36 states/eV per cell. The value obtained for the magnetic moment is 0.0 μB per formula unit. As for the symmetry: I4/mmm (139).

abc: 4.5075 4.5075 16.2728
angles: 97.96 97.96 90.00
With the nearest neighbours (Å) after each atom.
Atoms (fractional coordinates):
Nd 0.0986 0.0986 0.1972  1 Tl 3.15, 5 Te 3.19-3.21
Nd 0.2999 0.2999 0.5998  6 Te 3.17-3.21
Nd 0.9014 0.9014 0.8028  1 Tl 3.15, 5 Te 3.19-3.21
Nd 0.7001 0.7001 0.4002  6 Te 3.17-3.21
Nd 0.5000 0.5000 0.0000  4 Tl 3.19, 2 Te 3.22
Te 0.6008 0.6008 0.2015  6 Nd 3.17-3.22
Te 0.8007 0.8007 0.6015  6 Nd 3.19-3.21
Te 0.1993 0.1993 0.3985  6 Nd 3.19-3.21
Te 0.3992 0.3992 0.7985  6 Nd 3.17-3.22
Tl 0.0000 0.0000 0.0000  6 Nd 3.15-3.19

x) # Nd5TlTe4

A relaxed Nd5TlTe4 crystal (PBE, Alexandria).

The value obtained for the mass density is 7.3 g cm⁻³. The density of states at the Fermi level comes out at 4.31 states/eV per cell. The value obtained for the magnetic moment is 0.0 μB per formula unit. As for the symmetry: I4/m (87).

abc: 6.3677 7.8187 7.8185
angles: 80.46 65.97 65.97
With the nearest neighbours (Å) after each atom.
Atoms (fractional coordinates):
Te 0.4026 0.3989 0.7978  6 Nd 3.18-3.22
Te 0.5994 0.6011 0.2022  6 Nd 3.18-3.22
Te 0.2005 0.2022 0.3989  6 Nd 3.18-3.22
Te 0.8015 0.7978 0.6011  6 Nd 3.18-3.22
Nd 0.9026 0.3946 0.8022  1 Tl 3.15, 5 Te 3.18-3.22
Nd 0.0994 0.6054 0.1978  1 Tl 3.15, 5 Te 3.18-3.22
Nd 0.2972 0.8022 0.6054  1 Tl 3.15, 5 Te 3.18-3.22
Nd 0.7048 0.1978 0.3946  1 Tl 3.15, 5 Te 3.18-3.22
Nd 0.5011 0.0000 0.0000  2 Tl 3.18, 4 Te 3.19
Tl 0.0012 0.0000 0.0000  6 Nd 3.15-3.18

x) (3.2 kJ/mol of atoms below the next structure)

w) # Nd3TlTe2

A relaxed Nd3TlTe2 crystal (PBE, Alexandria).

The value obtained for the mass density is 7.6 g cm⁻³. The density of states at the Fermi level comes out at 9.23 states/eV per cell. The value obtained for the magnetic moment is 0.0 μB per formula unit. As for the symmetry: Pnma (62).

abc: 6.3883 9.0006 13.5609
angles: 90.00 90.00 89.99
With the nearest neighbours (Å) after each atom.
Atoms (fractional coordinates):
Nd 0.7496 0.8720 0.4175  1 Tl 3.17, 5 Te 3.19-3.20
Nd 0.7496 0.3720 0.0825  1 Tl 3.17, 5 Te 3.19-3.20
Nd 0.2502 0.6245 0.5827  3 Te 3.18-3.21, 3 Tl 3.19-3.21
Nd 0.2502 0.1245 0.9173  3 Te 3.18-3.21, 3 Tl 3.19-3.21
Nd 0.2495 0.6231 0.2502  2 Tl 3.17, 4 Te 3.18-3.20
Nd 0.7505 0.8769 0.7502  2 Tl 3.17, 4 Te 3.18-3.20
Nd 0.2504 0.6280 0.9175  1 Tl 3.17, 5 Te 3.19-3.20
Nd 0.2495 0.1231 0.2498  2 Tl 3.17, 4 Te 3.18-3.20
Nd 0.7498 0.3755 0.4173  3 Te 3.18-3.21, 3 Tl 3.19-3.21
Nd 0.7498 0.8755 0.0827  3 Te 3.18-3.21, 3 Tl 3.19-3.21
Nd 0.7505 0.3769 0.7498  2 Tl 3.17, 4 Te 3.18-3.20
Nd 0.2504 0.1280 0.5825  1 Tl 3.17, 5 Te 3.19-3.20
Te 0.7504 0.6246 0.9168  6 Nd 3.18-3.20
Te 0.2496 0.3754 0.0832  6 Nd 3.18-3.20
Te 0.7495 0.6245 0.2481  6 Nd 3.18-3.21
Te 0.2496 0.8754 0.4168  6 Nd 3.18-3.20
Te 0.7504 0.1246 0.5832  6 Nd 3.18-3.20
Te 0.2505 0.8755 0.7481  6 Nd 3.18-3.21
Te 0.2505 0.3755 0.7519  6 Nd 3.18-3.21
Te 0.7495 0.1245 0.2519  6 Nd 3.18-3.21
Tl 0.2498 0.8728 0.0853  6 Nd 3.17-3.21
Tl 0.2498 0.3728 0.4147  6 Nd 3.17-3.21
Tl 0.7502 0.6272 0.5853  6 Nd 3.17-3.21
Tl 0.7502 0.1272 0.9147  6 Nd 3.17-3.21

x) # Nd3TlTe2

A relaxed Nd3TlTe2 crystal (PBE, Alexandria).

The value obtained for the mass density is 6.6 g cm⁻³. The density of states at the Fermi level comes out at 1.70 states/eV per cell. The value obtained for the magnetic moment is 0.0 μB per formula unit. As for the symmetry: Cmmm (65).

abc: 4.8207 6.3343 7.9996
angles: 113.32 90.00 90.00
With the nearest neighbours (Å) after each atom.
Atoms (fractional coordinates):
Te 0.5000 0.3530 0.7061  5 Nd 3.17-3.24
Te 0.5000 0.6470 0.2939  5 Nd 3.17-3.24
Nd 0.5000 0.8631 0.7261  2 Tl 3.14, 3 Te 3.17
Nd 0.5000 0.1369 0.2739  2 Tl 3.14, 3 Te 3.17
Nd 0.0000 0.5000 0.0000  2 Tl 3.17, 4 Te 3.24
Tl 0.0000 0.0000 0.0000  6 Nd 3.14-3.17

w) (14.2 kJ/mol of atoms below the next structure)